No. 1
The following is a DFT calculation (GGA-PBE) of crystalline GdDyScHg at its relaxed geometry.

```
GdDyScHg
1.0
5.324 0.000 0.000
2.662 4.611 0.000
2.662 1.537 4.347
Dy Gd Hg Sc
1 1 1 1
direct
0.250 0.250 0.250 Dy
0.750 0.750 0.750 Gd
0.500 0.500 0.500 Hg
0.000 0.000 0.000 Sc
```

Computed properties:
ρ = 8.80 Mg/m³
Calculated formation energy = -0.089 eV per atom
Density of states at the Fermi level = 1.50 states/eV per atom


No. 2
The following is a DFT calculation (GGA-PBE) of crystalline GdDySnHg at its relaxed geometry.

```
GdDySnHg
1.0
5.313 0.000 0.000
2.656 4.601 0.000
2.656 1.534 4.338
Gd Sn Hg Dy
1 1 1 1
direct
0.500 0.500 0.500 Gd
0.250 0.250 0.250 Sn
0.750 0.750 0.750 Hg
0.000 0.000 0.000 Dy
```

Computed properties:
ρ = 10.01 Mg/m³
Calculated formation energy = -0.581 eV per atom
Density of states at the Fermi level = 0.80 states/eV per atom